# 1
VASP calculation (PBE+U) on a relaxed structure of MnNbSbO6.

Output
Symmetry: No. 163
Density: 5.29 g cm⁻³
V: 12.74 Å³ per atom
Electronic total energy: -7.59 eV per atom

a b c (Å): 5.3082 5.3082 9.4005
angles (deg): 90.00 90.00 120.00
With the nearest neighbours (Å) after each atom.
Element x y z (fractional)
Mn1 0.0000 0.0000 0.0000  6 O 2.28
Mn2 0.0000 0.0000 0.5000  6 O 2.28
Nb1 0.3333 0.6667 0.2500  6 O 2.03
Nb2 0.6667 0.3333 0.7500  6 O 2.03
Sb1 0.3333 0.6667 0.7500  6 O 2.01
Sb2 0.6667 0.3333 0.2500  6 O 2.01
O1 0.0020 0.3590 0.6349  1 Sb 2.01, 1 Nb 2.03
O2 0.0020 0.6430 0.8651  1 Sb 2.01, 1 Nb 2.03
O3 0.3570 0.3590 0.8651  1 Sb 2.01, 1 Nb 2.03
O4 0.3570 0.9980 0.6349  1 Sb 2.01, 1 Nb 2.03
O5 0.3590 0.0020 0.1349  1 Sb 2.01, 1 Nb 2.03
O6 0.3590 0.3570 0.3651  1 Sb 2.01, 1 Nb 2.03
O7 0.6410 0.6430 0.6349  1 Sb 2.01, 1 Nb 2.03
O8 0.6410 0.9980 0.8651  1 Sb 2.01, 1 Nb 2.03
O9 0.6430 0.0020 0.3651  1 Sb 2.01, 1 Nb 2.03
O10 0.6430 0.6410 0.1349  1 Sb 2.01, 1 Nb 2.03
O11 0.9980 0.3570 0.1349  1 Sb 2.01, 1 Nb 2.03
O12 0.9980 0.6410 0.3651  1 Sb 2.01, 1 Nb 2.03



# 2
VASP calculation (PBE+U) on a relaxed structure of MnNbSn2O8.

Output
Symmetry: No. 65
Density: 5.79 g cm⁻³
V: 12.27 Å³ per atom
Electronic total energy: -7.28 eV per atom

a b c (Å): 4.8578 4.8578 6.2417
angles (deg): 90.00 90.00 90.32
With the nearest neighbours (Å) after each atom.
Element x y z (fractional)
Mn1 0.0000 0.0000 0.0000  6 O 2.04-2.09
Nb1 0.0000 0.0000 0.5000  6 O 2.00-2.09
Sn1 0.5000 0.5000 0.2436  6 O 2.03-2.15
Sn2 0.5000 0.5000 0.7564  6 O 2.03-2.15
O1 0.1870 0.1870 0.2548  1 Nb 2.00, 1 Mn 2.04, 1 Sn 2.15
O2 0.1870 0.1870 0.7452  1 Nb 2.00, 1 Mn 2.04, 1 Sn 2.15
O3 0.3031 0.6969 0.5000  1 Nb 2.09, 2 Sn 2.10
O4 0.3037 0.6963 0.0000  2 Sn 2.03, 1 Mn 2.09
O5 0.6963 0.3037 0.0000  2 Sn 2.03, 1 Mn 2.09
O6 0.6969 0.3031 0.5000  1 Nb 2.09, 2 Sn 2.10
O7 0.8130 0.8130 0.2548  1 Nb 2.00, 1 Mn 2.04, 1 Sn 2.15
O8 0.8130 0.8130 0.7452  1 Nb 2.00, 1 Mn 2.04, 1 Sn 2.15



# 3
VASP calculation (PBE+U) on a relaxed structure of MnNbSnO2.

Output
Symmetry: No. 123
Density: 5.27 g cm⁻³
V: 18.81 Å³ per atom
Electronic total energy: -5.90 eV per atom

a b c (Å): 4.0096 4.0096 5.8495
angles (deg): 90.00 90.00 90.00
With the nearest neighbours (Å) after each atom.
Element x y z (fractional)
Mn1 0.0000 0.0000 0.0000  4 Nb 2.84, 2 Sn 2.92
Nb1 0.5000 0.5000 0.0000  4 Mn 2.84
Sn1 0.0000 0.0000 0.5000  4 O 2.00
O1 0.0000 0.5000 0.5000  2 Sn 2.00
O2 0.5000 0.0000 0.5000  2 Sn 2.00



# 4
VASP calculation (PBE+U) on a relaxed structure of Sr2MnNbO6.

Output
Symmetry: No. 2
Density: 5.33 g cm⁻³
V: 13.05 Å³ per atom
Electronic total energy: -7.65 eV per atom

a b c (Å): 5.7264 7.9891 11.4061
angles (deg): 89.99 89.98 90.00
With the nearest neighbours (Å) after each atom.
Element x y z (fractional)
Sr1 0.2413 0.0044 0.1271  6 O 2.56-2.82
Sr2 0.2409 0.4956 0.1272  6 O 2.56-2.82
Sr3 0.2544 0.5036 0.6242  7 O 2.59-2.86
Sr4 0.2545 0.9964 0.6241  7 O 2.59-2.86
Sr5 0.7455 0.0036 0.3759  7 O 2.59-2.86
Sr6 0.7456 0.4964 0.3758  7 O 2.59-2.86
Sr7 0.7591 0.5044 0.8728  6 O 2.56-2.82
Sr8 0.7587 0.9956 0.8729  6 O 2.56-2.82
Mn1 0.2437 0.2500 0.3755  5 O 1.95-2.17
Mn2 0.2578 0.2500 0.8743  5 O 1.96-2.18
Mn3 0.7422 0.7500 0.1257  5 O 1.96-2.18
Mn4 0.7563 0.7500 0.6245  5 O 1.95-2.17
Nb1 0.2400 0.7500 0.3723  6 O 1.93-2.11
Nb2 0.2623 0.7500 0.8779  6 O 1.94-2.10
Nb3 0.7377 0.2500 0.1221  6 O 1.94-2.10
Nb4 0.7600 0.2500 0.6277  6 O 1.93-2.11
O1 0.0048 0.2495 0.2279  1 Nb 1.95, 1 Mn 2.17
O2 0.0211 0.7504 0.5170  1 Mn 1.95, 1 Nb 2.07
O3 0.0666 0.2497 0.7301  1 Mn 1.98, 1 Nb 2.11
O4 0.0669 0.7503 0.0174  1 Nb 1.94
O5 0.2332 0.4978 0.3743  1 Mn 1.98, 1 Nb 2.02
O6 0.2351 0.0022 0.3744  1 Mn 1.98, 1 Nb 2.02
O7 0.2661 0.4975 0.8746  1 Mn 1.98, 1 Nb 2.02
O8 0.2676 0.0026 0.8746  1 Mn 1.98, 1 Nb 2.02
O9 0.4220 0.7497 0.2294  1 Nb 1.93
O10 0.4385 0.2503 0.0207  1 Mn 1.96, 1 Nb 2.07
O11 0.4877 0.2505 0.5245  1 Nb 1.95
O12 0.4884 0.7496 0.7324  1 Mn 1.97, 1 Nb 2.10
O13 0.5116 0.2504 0.2676  1 Mn 1.97, 1 Nb 2.10
O14 0.5123 0.7495 0.4755  1 Nb 1.95
O15 0.5615 0.7497 0.9793  1 Mn 1.96, 1 Nb 2.07
O16 0.5780 0.2503 0.7706  1 Nb 1.93
O17 0.7324 0.9974 0.1254  1 Mn 1.98, 1 Nb 2.02
O18 0.7339 0.5025 0.1254  1 Mn 1.98, 1 Nb 2.02
O19 0.7649 0.9978 0.6256  1 Mn 1.98, 1 Nb 2.02
O20 0.7668 0.5022 0.6257  1 Mn 1.98, 1 Nb 2.02
O21 0.9331 0.2497 0.9826  1 Nb 1.94
O22 0.9334 0.7503 0.2699  1 Mn 1.98, 1 Nb 2.11
O23 0.9789 0.2496 0.4830  1 Mn 1.95, 1 Nb 2.07
O24 0.9952 0.7505 0.7721  1 Nb 1.95, 1 Mn 2.17



# 5
VASP calculation (PBE+U) on a relaxed structure of Sr2MnNbO6.

Output
Symmetry: No. 2
Density: 5.36 g cm⁻³
V: 12.99 Å³ per atom
Electronic total energy: -7.65 eV per atom

a b c (Å): 5.5337 5.5348 5.7628
angles (deg): 61.41 61.35 89.98
With the nearest neighbours (Å) after each atom.
Element x y z (fractional)
Sr1 0.2494 0.2493 0.0002  8 O 2.62-2.83
Sr2 0.7506 0.7507 0.9998  8 O 2.62-2.83
Mn1 0.0000 0.5000 0.5000  4 O 1.96
Nb1 0.5000 0.0000 0.5000  6 O 2.00-2.02
O1 0.1994 0.7893 0.5032  1 Mn 1.96, 1 Nb 2.02
O2 0.2591 0.7733 0.9719  1 Nb 2.00, 1 Mn 2.24
O3 0.2971 0.3052 0.4872  1 Mn 1.96, 1 Nb 2.02
O4 0.7029 0.6948 0.5128  1 Mn 1.96, 1 Nb 2.02
O5 0.7409 0.2267 0.0281  1 Nb 2.00, 1 Mn 2.24
O6 0.8006 0.2107 0.4968  1 Mn 1.96, 1 Nb 2.02



# 6
VASP calculation (PBE+U) on a relaxed structure of Sr2MnNbO6.

Output
Symmetry: No. 15
Density: 5.33 g cm⁻³
V: 13.05 Å³ per atom
Electronic total energy: -7.65 eV per atom

a b c (Å): 5.6674 5.6674 9.7475
angles (deg): 105.12 105.12 61.03
With the nearest neighbours (Å) after each atom.
Element x y z (fractional)
Sr1 0.1211 0.6309 0.8758  6 O 2.56-2.76
Sr2 0.3691 0.8789 0.6242  6 O 2.56-2.76
Sr3 0.6309 0.1211 0.3758  6 O 2.56-2.76
Sr4 0.8789 0.3691 0.1242  6 O 2.56-2.76
Mn1 0.0000 0.5000 0.5000  4 O 1.97-1.98
Mn2 0.5000 0.0000 0.0000  4 O 1.97-1.98
Nb1 0.2419 0.7581 0.2500  6 O 1.94-2.09
Nb2 0.7581 0.2419 0.7500  6 O 1.94-2.09
O1 0.0689 0.6190 0.3471  1 Mn 1.98, 1 Nb 2.02
O2 0.0907 0.1342 0.3856  1 Mn 1.97, 1 Nb 2.09
O3 0.1342 0.0907 0.8856  1 Mn 1.97, 1 Nb 2.09
O4 0.3683 0.4271 0.1102  1 Nb 1.94
O5 0.3810 0.9311 0.1529  1 Mn 1.98, 1 Nb 2.02
O6 0.4271 0.3683 0.6102  1 Nb 1.94
O7 0.5729 0.6317 0.3898  1 Nb 1.94
O8 0.6190 0.0689 0.8471  1 Mn 1.98, 1 Nb 2.02
O9 0.6317 0.5729 0.8898  1 Nb 1.94
O10 0.8658 0.9093 0.1144  1 Mn 1.97, 1 Nb 2.09
O11 0.9093 0.8658 0.6144  1 Mn 1.97, 1 Nb 2.09
O12 0.9311 0.3810 0.6529  1 Mn 1.98, 1 Nb 2.02



# 7
VASP calculation (PBE+U) on a relaxed structure of SrMnNbO5.

Output
Symmetry: No. 15
Density: 4.64 g cm⁻³
V: 14.12 Å³ per atom
Electronic total energy: -7.86 eV per atom

a b c (Å): 5.8354 5.8354 7.6267
angles (deg): 101.57 101.57 111.42
With the nearest neighbours (Å) after each atom.
Element x y z (fractional)
Sr1 0.1764 0.8236 0.7500  7 O 2.52-2.72
Sr2 0.8236 0.1764 0.2500  7 O 2.52-2.72
Mn1 0.1727 0.8273 0.2500  4 O 1.91
Mn2 0.8273 0.1727 0.7500  4 O 1.91
Nb1 0.5000 0.5000 0.0000  6 O 2.00-2.04
Nb2 0.5000 0.5000 0.5000  6 O 2.00-2.04
O1 0.1393 0.2209 0.9220  1 Mn 1.91, 1 Nb 2.01
O2 0.2209 0.1393 0.4220  1 Mn 1.91, 1 Nb 2.01
O3 0.2300 0.6298 0.4123  1 Mn 1.91, 1 Nb 2.04
O4 0.3702 0.7700 0.0877  1 Mn 1.91, 1 Nb 2.04
O5 0.4378 0.5622 0.7500  2 Nb 2.00
O6 0.5622 0.4378 0.2500  2 Nb 2.00
O7 0.6298 0.2300 0.9123  1 Mn 1.91, 1 Nb 2.04
O8 0.7700 0.3702 0.5877  1 Mn 1.91, 1 Nb 2.04
O9 0.7791 0.8607 0.5780  1 Mn 1.91, 1 Nb 2.01
O10 0.8607 0.7791 0.0780  1 Mn 1.91, 1 Nb 2.01



# 8
VASP calculation (PBE+U) on a relaxed structure of TaMnNbO6.

Output
Symmetry: No. 18
Density: 6.38 g cm⁻³
V: 12.29 Å³ per atom
Offset from the most stable computed form: 0.0 kJ/mol of atoms
Electronic total energy: -9.10 eV per atom

a b c (Å): 5.1458 14.6243 5.8808
angles (deg): 90.00 90.00 90.00
With the nearest neighbours (Å) after each atom.
Element x y z (fractional)
Ta1 0.0119 0.1637 0.4245  3 O 1.84-1.97
Ta2 0.4881 0.6637 0.5755  3 O 1.84-1.97
Ta3 0.5119 0.3363 0.5755  3 O 1.84-1.97
Ta4 0.9881 0.8363 0.4245  3 O 1.84-1.97
Mn1 0.0000 0.0000 0.9169  6 O 2.16-2.23
Mn2 0.0000 0.5000 0.4318  6 O 2.18-2.25
Mn3 0.5000 0.0000 0.5682  6 O 2.18-2.25
Mn4 0.5000 0.5000 0.0831  6 O 2.16-2.23
Nb1 0.0125 0.3388 0.9317  3 O 1.83-1.99
Nb2 0.4875 0.8388 0.0683  3 O 1.83-1.99
Nb3 0.5125 0.1612 0.0683  3 O 1.83-1.99
Nb4 0.9875 0.6612 0.9317  3 O 1.83-1.99
O1 0.1532 0.4192 0.1352  1 Nb 1.83
O2 0.1535 0.0824 0.6279  1 Ta 1.84
O3 0.1568 0.7566 0.1220  2 Nb 1.99-2.11
O4 0.1657 0.7455 0.6181  2 Ta 1.97-2.06
O5 0.1891 0.0997 0.1491  1 Nb 1.95, 1 Ta 2.08
O6 0.1906 0.4005 0.6525  1 Ta 1.95, 1 Nb 2.09, 1 Mn 2.18
O7 0.3094 0.9005 0.3475  1 Ta 1.95, 1 Nb 2.09, 1 Mn 2.18
O8 0.3109 0.5997 0.8509  1 Nb 1.95, 1 Ta 2.08
O9 0.3343 0.2455 0.3819  2 Ta 1.97-2.06
O10 0.3432 0.2566 0.8780  2 Nb 1.99-2.11
O11 0.3465 0.5824 0.3721  1 Ta 1.84
O12 0.3468 0.9192 0.8648  1 Nb 1.83
O13 0.6532 0.0808 0.8648  1 Nb 1.83
O14 0.6535 0.4176 0.3721  1 Ta 1.84
O15 0.6568 0.7434 0.8780  2 Nb 1.99-2.11
O16 0.6657 0.7545 0.3819  2 Ta 1.97-2.06
O17 0.6891 0.4003 0.8509  1 Nb 1.95, 1 Ta 2.08
O18 0.6906 0.0995 0.3475  1 Ta 1.95, 1 Nb 2.09, 1 Mn 2.18
O19 0.8094 0.5995 0.6525  1 Ta 1.95, 1 Nb 2.09, 1 Mn 2.18
O20 0.8109 0.9003 0.1491  1 Nb 1.95, 1 Ta 2.08
O21 0.8343 0.2545 0.6181  2 Ta 1.97-2.06
O22 0.8432 0.2434 0.1220  2 Nb 1.99-2.11
O23 0.8465 0.9176 0.6279  1 Ta 1.84
O24 0.8468 0.5808 0.1352  1 Nb 1.83



Question: density of number 7 (SrMnNbO5)?
Answer: 4.64 g cm⁻³



Question: The highest V belongs to which entry?
Answer: MnNbSnO2



Question: The highest V belongs to which entry?
Answer: MnNbSnO2